Entry 1:
PrEr8Tm2 | PBE-GGA | optimized geometry

energy of formation = 0.154 eV/atom
total magnetic moment = 0.00 μB per formula unit
offset from the most stable computed form = 34.4 meV/atom
crystal system = orthorhombic

abc: 9.6744 9.6744 9.6744
angles: 144.65 137.04 56.80
Last column: nearest neighbours and their distance in Å.
Fractional coordinates of all 11 atoms:
Pr1 0.0000 0.0000 0.0000  6 Er 3.43-3.82
Er1 0.0983 0.3676 0.7307  6 Er 3.27-3.56, 3 Tm 3.47-3.63
Er2 0.2014 0.2014 0.0000  6 Er 3.41-3.56, 1 Pr 3.43, 4 Tm 3.49-3.55
Er3 0.3631 0.6324 0.7307  6 Er 3.27-3.56, 3 Tm 3.47-3.63
Er4 0.5000 0.2418 0.7418  2 Er 2.84-3.03
Er5 0.5000 0.7582 0.2582  2 Er 2.84-3.03
Er6 0.6369 0.3676 0.2693  6 Er 3.27-3.56, 3 Tm 3.47-3.63
Er7 0.7986 0.7986 0.0000  6 Er 3.41-3.56, 1 Pr 3.43, 4 Tm 3.49-3.55
Er8 0.9017 0.6324 0.2693  6 Er 3.27-3.56, 3 Tm 3.47-3.63
Tm1 0.3121 0.8121 0.5000  12 Er 3.47-3.63
Tm2 0.6879 0.1879 0.5000  12 Er 3.47-3.63

=====

Entry 2:
PrEr5Tm | PBE-GGA | optimized geometry

energy of formation = 0.105 eV/atom
total magnetic moment = 0.00 μB per formula unit
offset from the most stable computed form = 0.0 meV/atom
crystal system = monoclinic

abc: 6.4824 6.4824 11.3601
angles: 103.53 103.53 95.24
Last column: nearest neighbours and their distance in Å.
Fractional coordinates of all 14 atoms:
Pr1 0.0000 0.5000 0.0000  6 Er 3.33-3.60
Pr2 0.5000 0.0000 0.5000  6 Er 3.33-3.60
Er1 0.0662 0.2727 0.5353  7 Er 3.27-3.64, 2 Tm 3.33-3.41, 1 Pr 3.51
Er2 0.0820 0.9180 0.2500  6 Er 3.27-3.54, 1 Tm 3.29, 2 Pr 3.33
Er3 0.2727 0.0662 0.0353  7 Er 3.27-3.64, 2 Tm 3.33-3.41, 1 Pr 3.51
Er4 0.3004 0.4470 0.3327  6 Er 3.36-3.70, 2 Tm 3.43-3.56, 1 Pr 3.60
Er5 0.4470 0.3004 0.8327  6 Er 3.36-3.70, 2 Tm 3.43-3.56, 1 Pr 3.60
Er6 0.5530 0.6996 0.1673  6 Er 3.36-3.70, 2 Tm 3.43-3.56, 1 Pr 3.60
Er7 0.6996 0.5530 0.6673  6 Er 3.36-3.70, 2 Tm 3.43-3.56, 1 Pr 3.60
Er8 0.7273 0.9338 0.9647  7 Er 3.27-3.64, 2 Tm 3.33-3.41, 1 Pr 3.51
Er9 0.9180 0.0820 0.7500  6 Er 3.27-3.54, 1 Tm 3.29, 2 Pr 3.33
Er10 0.9338 0.7273 0.4647  7 Er 3.27-3.64, 2 Tm 3.33-3.41, 1 Pr 3.51
Tm1 0.2613 0.7387 0.7500  9 Er 3.29-3.56
Tm2 0.7387 0.2613 0.2500  9 Er 3.29-3.56

=====

Entry 3:
Pr15ErTm4 | PBE-GGA | optimized geometry

energy of formation = 0.008 eV/atom
total magnetic moment = 0.00 μB per formula unit
crystal system = tetragonal

abc: 5.1841 5.1841 25.8018
angles: 90.00 90.00 90.00
Last column: nearest neighbours and their distance in Å.
Fractional coordinates of all 20 atoms:
Pr1 0.0000 0.0000 0.0000  8 Pr 3.66, 4 Er 3.67
Pr2 0.0000 0.0000 0.2001  8 Pr 3.66, 4 Tm 3.67
Pr3 0.0000 0.0000 0.4000  8 Pr 3.66, 4 Tm 3.67
Pr4 0.0000 0.0000 0.6000  8 Pr 3.66, 4 Tm 3.67
Pr5 0.0000 0.0000 0.7999  8 Pr 3.66, 4 Tm 3.67
Pr6 0.0000 0.5000 0.1002  2 Tm 3.66, 8 Pr 3.66-3.67, 2 Er 3.66
Pr7 0.0000 0.5000 0.3000  8 Pr 3.66-3.67, 4 Tm 3.66
Pr8 0.0000 0.5000 0.5000  4 Tm 3.66, 8 Pr 3.66-3.67
Pr9 0.0000 0.5000 0.7000  8 Pr 3.66-3.67, 4 Tm 3.66
Pr10 0.0000 0.5000 0.8998  2 Tm 3.66, 8 Pr 3.66-3.67, 2 Er 3.66
Pr11 0.5000 0.0000 0.1002  2 Tm 3.66, 8 Pr 3.66-3.67, 2 Er 3.66
Pr12 0.5000 0.0000 0.3000  8 Pr 3.66-3.67, 4 Tm 3.66
Pr13 0.5000 0.0000 0.5000  4 Tm 3.66, 8 Pr 3.66-3.67
Pr14 0.5000 0.0000 0.7000  8 Pr 3.66-3.67, 4 Tm 3.66
Pr15 0.5000 0.0000 0.8998  2 Tm 3.66, 8 Pr 3.66-3.67, 2 Er 3.66
Er1 0.5000 0.5000 0.0000  12 Pr 3.66-3.67
Tm1 0.5000 0.5000 0.2001  12 Pr 3.66-3.67
Tm2 0.5000 0.5000 0.4000  12 Pr 3.66-3.67
Tm3 0.5000 0.5000 0.6000  12 Pr 3.66-3.67
Tm4 0.5000 0.5000 0.7999  12 Pr 3.66-3.67

=====

Entry 4:
Pr4Er5Tm | PBE-GGA | optimized geometry

energy of formation = 0.232 eV/atom
total magnetic moment = 0.00 μB per formula unit
offset from the most stable computed form = 38.2 meV/atom
crystal system = tetragonal

abc: 8.1439 8.1439 8.1439
angles: 97.62 97.62 137.30
Last column: nearest neighbours and their distance in Å.
Fractional coordinates of all 10 atoms:
Pr1 0.0000 0.3223 0.3223  3 Er 3.35-3.74, 1 Tm 3.74
Pr2 0.0000 0.6777 0.6777  3 Er 3.35-3.74, 1 Tm 3.74
Pr3 0.3223 0.0000 0.3223  3 Er 3.35-3.74, 1 Tm 3.74
Pr4 0.6777 0.0000 0.6777  3 Er 3.35-3.74, 1 Tm 3.74
Er1 0.2413 0.2413 0.0000  2 Tm 2.84-3.08
Er2 0.3141 0.3141 0.6236  1 Tm 3.24, 3 Er 3.25-3.51, 2 Pr 3.35
Er3 0.3141 0.6905 0.0000  1 Tm 3.24, 3 Er 3.25-3.51, 2 Pr 3.35
Er4 0.6905 0.3141 0.0000  1 Tm 3.24, 3 Er 3.25-3.51, 2 Pr 3.35
Er5 0.6905 0.6905 0.3764  1 Tm 3.24, 3 Er 3.25-3.51, 2 Pr 3.35
Tm1 0.7615 0.7615 0.0000  2 Er 2.84-3.08

=====

Entry 5:
Pr10ErTm4 | PBE-GGA | optimized geometry

energy of formation = 0.666 eV/atom
total magnetic moment = 0.00 μB per formula unit
crystal system = tetragonal

abc: 9.5845 9.5845 9.5845
angles: 99.65 99.65 131.66
Last column: nearest neighbours and their distance in Å.
Fractional coordinates of all 15 atoms:
Pr1 0.0495 0.3498 0.8990  3 Tm 3.39, 1 Er 3.40
Pr2 0.1505 0.0495 0.6997  3 Tm 3.39, 1 Er 3.40
Pr3 0.2500 0.7500 0.5000  4 Tm 3.39
Pr4 0.3498 0.4508 0.3003  3 Tm 3.39, 1 Er 3.40
Pr5 0.4508 0.1505 0.1010  3 Tm 3.39, 1 Er 3.40
Pr6 0.5492 0.8495 0.8990  3 Tm 3.39, 1 Er 3.40
Pr7 0.6502 0.5492 0.6997  3 Tm 3.39, 1 Er 3.40
Pr8 0.7500 0.2500 0.5000  4 Tm 3.39
Pr9 0.8495 0.9505 0.3003  3 Tm 3.39, 1 Er 3.40
Pr10 0.9505 0.6502 0.1010  3 Tm 3.39, 1 Er 3.40
Er1 0.0000 0.0000 0.0000  8 Pr 3.40
Tm1 0.2003 0.3997 0.6000  8 Pr 3.39
Tm2 0.3997 0.7997 0.1994  8 Pr 3.39
Tm3 0.6003 0.2003 0.8006  8 Pr 3.39
Tm4 0.7997 0.6003 0.4000  8 Pr 3.39

=====

Entry 6:
Pr2Er4Tm7 | PBE-GGA | optimized geometry

energy of formation = 0.201 eV/atom
total magnetic moment = 0.00 μB per formula unit
crystal system = trigonal

abc: 6.0076 6.0076 13.3306
angles: 90.00 90.00 120.00
Last column: nearest neighbours and their distance in Å.
Fractional coordinates of all 13 atoms:
Pr1 0.3333 0.6667 0.0000  9 Tm 3.47-3.48, 3 Pr 3.47
Pr2 0.6667 0.3333 0.0000  9 Tm 3.47-3.48, 3 Pr 3.47
Er1 0.0000 0.0000 0.3957  1 Er 2.78
Er2 0.0000 0.0000 0.6043  1 Er 2.78
Er3 0.3333 0.6667 0.5000  9 Er 3.47-3.74
Er4 0.6667 0.3333 0.5000  9 Er 3.47-3.74
Tm1 0.0000 0.0000 0.0000  6 Pr 3.47, 6 Tm 3.56
Tm2 0.0000 0.3479 0.2159  1 Er 3.18, 5 Tm 3.40-3.56, 2 Pr 3.48
Tm3 0.0000 0.6521 0.7841  1 Er 3.18, 5 Tm 3.40-3.56, 2 Pr 3.48
Tm4 0.3479 0.0000 0.2159  1 Er 3.18, 5 Tm 3.40-3.56, 2 Pr 3.48
Tm5 0.3479 0.3479 0.7841  1 Er 3.18, 5 Tm 3.40-3.56, 2 Pr 3.48
Tm6 0.6521 0.0000 0.7841  1 Er 3.18, 5 Tm 3.40-3.56, 2 Pr 3.48
Tm7 0.6521 0.6521 0.2159  1 Er 3.18, 5 Tm 3.40-3.56, 2 Pr 3.48

=====

Entry 7:
Pr3Er12Tm | PBE-GGA | optimized geometry

energy of formation = 0.027 eV/atom
total magnetic moment = 0.00 μB per formula unit
crystal system = tetragonal

abc: 5.0119 5.0119 20.0558
angles: 90.00 90.00 90.00
Last column: nearest neighbours and their distance in Å.
Fractional coordinates of all 16 atoms:
Pr1 0.0000 0.0000 0.0000  12 Er 3.54-3.56
Pr2 0.0000 0.0000 0.2511  12 Er 3.54-3.57
Pr3 0.0000 0.0000 0.7489  12 Er 3.54-3.57
Er1 0.0000 0.5000 0.1260  8 Er 3.54-3.56, 4 Pr 3.55-3.56
Er2 0.0000 0.5000 0.3778  8 Er 3.51-3.55, 2 Tm 3.51, 2 Pr 3.57
Er3 0.0000 0.5000 0.6222  8 Er 3.51-3.55, 2 Tm 3.51, 2 Pr 3.57
Er4 0.0000 0.5000 0.8740  8 Er 3.54-3.56, 4 Pr 3.55-3.56
Er5 0.5000 0.0000 0.1260  8 Er 3.54-3.56, 4 Pr 3.55-3.56
Er6 0.5000 0.0000 0.3778  8 Er 3.51-3.55, 2 Tm 3.51, 2 Pr 3.57
Er7 0.5000 0.0000 0.6222  8 Er 3.51-3.55, 2 Tm 3.51, 2 Pr 3.57
Er8 0.5000 0.0000 0.8740  8 Er 3.54-3.56, 4 Pr 3.55-3.56
Er9 0.5000 0.5000 0.0000  4 Pr 3.54, 8 Er 3.56
Er10 0.5000 0.5000 0.2521  4 Pr 3.54, 8 Er 3.55-3.56
Er11 0.5000 0.5000 0.5000  8 Er 3.51, 4 Tm 3.54
Er12 0.5000 0.5000 0.7479  4 Pr 3.54, 8 Er 3.55-3.56
Tm1 0.0000 0.0000 0.5000  12 Er 3.51-3.54

=====

Entry 8:
Pr2Er3Tm4 | PBE-GGA | optimized geometry

energy of formation = 0.102 eV/atom
total magnetic moment = 0.00 μB per formula unit
crystal system = monoclinic

abc: 10.1058 10.1058 5.9604
angles: 95.86 95.86 69.87
Last column: nearest neighbours and their distance in Å.
Fractional coordinates of all 18 atoms:
Pr1 0.0090 0.7779 0.7219  3 Tm 3.35-3.55, 4 Er 3.36-3.55, 1 Pr 3.51
Pr2 0.2221 0.9910 0.7781  3 Tm 3.35-3.55, 4 Er 3.36-3.55, 1 Pr 3.51
Pr3 0.7779 0.0090 0.2219  3 Tm 3.35-3.55, 4 Er 3.36-3.55, 1 Pr 3.51
Pr4 0.9910 0.2221 0.2781  3 Tm 3.35-3.55, 4 Er 3.36-3.55, 1 Pr 3.51
Er1 0.1513 0.8487 0.2500  2 Tm 3.39, 6 Pr 3.44-3.55, 2 Er 3.76
Er2 0.1874 0.4868 0.4108  1 Pr 3.36, 8 Tm 3.38-3.73
Er3 0.4868 0.1874 0.9108  1 Pr 3.36, 8 Tm 3.38-3.73
Er4 0.5132 0.8126 0.0892  1 Pr 3.36, 8 Tm 3.38-3.73
Er5 0.8126 0.5132 0.5892  1 Pr 3.36, 8 Tm 3.38-3.73
Er6 0.8487 0.1513 0.7500  2 Tm 3.39, 6 Pr 3.44-3.55, 2 Er 3.76
Tm1 0.1245 0.3436 0.8678  2 Pr 3.35-3.43, 2 Tm 3.37-3.62, 4 Er 3.38-3.50
Tm2 0.3326 0.5457 0.9564  3 Tm 3.19-3.37, 4 Er 3.39-3.51, 1 Pr 3.55
Tm3 0.3436 0.1245 0.3678  2 Pr 3.35-3.43, 2 Tm 3.37-3.62, 4 Er 3.38-3.50
Tm4 0.4543 0.6674 0.5436  3 Tm 3.19-3.37, 4 Er 3.39-3.51, 1 Pr 3.55
Tm5 0.5457 0.3326 0.4564  3 Tm 3.19-3.37, 4 Er 3.39-3.51, 1 Pr 3.55
Tm6 0.6564 0.8755 0.6322  2 Pr 3.35-3.43, 2 Tm 3.37-3.62, 4 Er 3.38-3.50
Tm7 0.6674 0.4543 0.0436  3 Tm 3.19-3.37, 4 Er 3.39-3.51, 1 Pr 3.55
Tm8 0.8755 0.6564 0.1322  2 Pr 3.35-3.43, 2 Tm 3.37-3.62, 4 Er 3.38-3.50

=====

Entry 9:
Pr12Er3Tm | PBE-GGA | optimized geometry

energy of formation = 0.012 eV/atom
total magnetic moment = 0.00 μB per formula unit
crystal system = tetragonal

abc: 5.1775 5.1775 20.6521
angles: 90.00 90.00 90.00
Last column: nearest neighbours and their distance in Å.
Fractional coordinates of all 16 atoms:
Pr1 0.0000 0.0000 0.0000  8 Pr 3.66, 4 Er 3.66
Pr2 0.0000 0.0000 0.2501  8 Pr 3.66, 4 Er 3.66
Pr3 0.0000 0.0000 0.5000  8 Pr 3.65, 4 Tm 3.66
Pr4 0.0000 0.0000 0.7499  8 Pr 3.66, 4 Er 3.66
Pr5 0.0000 0.5000 0.1251  8 Pr 3.66, 4 Er 3.66
Pr6 0.0000 0.5000 0.3752  8 Pr 3.65-3.66, 2 Tm 3.65, 2 Er 3.66
Pr7 0.0000 0.5000 0.6248  8 Pr 3.65-3.66, 2 Tm 3.65, 2 Er 3.66
Pr8 0.0000 0.5000 0.8749  8 Pr 3.66, 4 Er 3.66
Pr9 0.5000 0.0000 0.1251  8 Pr 3.66, 4 Er 3.66
Pr10 0.5000 0.0000 0.3752  8 Pr 3.65-3.66, 2 Tm 3.65, 2 Er 3.66
Pr11 0.5000 0.0000 0.6248  8 Pr 3.65-3.66, 2 Tm 3.65, 2 Er 3.66
Pr12 0.5000 0.0000 0.8749  8 Pr 3.66, 4 Er 3.66
Er1 0.5000 0.5000 0.0000  12 Pr 3.66
Er2 0.5000 0.5000 0.2502  12 Pr 3.66
Er3 0.5000 0.5000 0.7498  12 Pr 3.66
Tm1 0.5000 0.5000 0.5000  12 Pr 3.65-3.66

=====

Entry 10:
Pr2ErTm7 | PBE-GGA | optimized geometry

energy of formation = 0.027 eV/atom
total magnetic moment = 0.00 μB per formula unit
offset from the most stable computed form = 0.0 meV/atom
crystal system = triclinic

abc: 6.1304 7.0581 7.8937
angles: 102.82 97.42 106.84
Last column: nearest neighbours and their distance in Å.
Fractional coordinates of all 10 atoms:
Pr1 0.1987 0.3982 0.3966  1 Er 3.51, 9 Tm 3.51-3.58, 2 Pr 3.56
Pr2 0.8013 0.6018 0.6034  1 Er 3.51, 9 Tm 3.51-3.58, 2 Pr 3.56
Er1 0.0000 0.0000 0.0000  2 Pr 3.51, 10 Tm 3.51-3.53
Tm1 0.0000 0.5000 0.0000  2 Pr 3.51, 8 Tm 3.53-3.54, 2 Er 3.53
Tm2 0.2017 0.9001 0.3987  8 Tm 3.52-3.56, 1 Er 3.52, 3 Pr 3.52-3.55
Tm3 0.3987 0.2991 0.8018  9 Tm 3.50-3.55, 1 Er 3.51, 2 Pr 3.54-3.56
Tm4 0.4014 0.8028 0.8033  7 Tm 3.48-3.55, 2 Er 3.52-3.53, 3 Pr 3.54-3.58
Tm5 0.5986 0.1972 0.1967  7 Tm 3.48-3.55, 2 Er 3.52-3.53, 3 Pr 3.54-3.58
Tm6 0.6013 0.7009 0.1982  9 Tm 3.50-3.55, 1 Er 3.51, 2 Pr 3.54-3.56
Tm7 0.7983 0.0999 0.6013  8 Tm 3.52-3.56, 1 Er 3.52, 3 Pr 3.52-3.55